No. 1
# SiGePt2 (PBE, relaxed)
data_SiGePt2
_symmetry_space_group_name_H-M 'P n m a'
_symmetry_Int_Tables_number 62
_cell_length_a 7.032
_cell_length_b 4.716
_cell_length_c 8.697
_cell_angle_alpha 90.00
_cell_angle_beta 90.00
_cell_angle_gamma 90.00
loop_
_symmetry_equiv_pos_as_xyz
'x,y,z'
'-x,-y,-z'
'-x+1/2,-y,z+1/2'
'x+1/2,y,-z+1/2'
'x+1/2,-y+1/2,-z+1/2'
'-x+1/2,y+1/2,z+1/2'
'-x,y+1/2,-z'
'x,-y+1/2,z'
loop_
_atom_site_label
_atom_site_type_symbol
_atom_site_fract_x
_atom_site_fract_y
_atom_site_fract_z
Si1 Si 0.023 0.250 0.180
Ge1 Ge 0.061 0.750 0.379
Pt1 Pt 0.056 0.250 0.905
Pt2 Pt 0.199 0.250 0.407
# * E_form (uncorrected): -0.456 eV per atom

No. 2
# BeIn2Au8 (PBE, relaxed)
data_BeIn2Au8
_symmetry_space_group_name_H-M 'I m m m'
_symmetry_Int_Tables_number 71
_symmetry_space_group_name_Hall '-I 2 2'
_cell_length_a 4.648
_cell_length_b 6.395
_cell_length_c 13.629
_cell_angle_alpha 90.00
_cell_angle_beta 90.00
_cell_angle_gamma 90.00
loop_
_atom_site_label
_atom_site_type_symbol
_atom_site_fract_x
_atom_site_fract_y
_atom_site_fract_z
Be1 Be 0.000 0.000 0.000
In1 In 0.000 0.000 0.322
Au1 Au 0.000 0.255 0.125
Au2 Au 0.000 0.269 0.500
Au3 Au 0.000 0.500 0.308
# * formation energy from the elements: -0.112 eV/atom

What did we get for polymorph energy (0 for the lowest one)? Answer: 0.122 0.000 eV per atom, in the order shown.
What did we get for uncorrected energy? Answer: -23.94 -36.65 eV/f.u., in the order shown.